Entry 1:
CeSmBiPb | PBE | relaxed

Summary:
Electronic total energy = -20.2 eV/cell
Total magnetization = 0.3305 μB/atom
Crystal system = cubic
ΔH_f (0 K) = -0.490 eV/atom

Cell and atoms, written as POSCAR:
```
CeSmBiPb
1.0
0.000 3.933 3.933
3.933 0.000 3.933
3.933 3.933 0.000
Ce Sm Bi Pb
1 1 1 1
Direct
0.000 0.000 0.000
0.500 0.500 0.500
0.750 0.750 0.750
0.250 0.250 0.250
```

***

Entry 2:
La2CeAl4Au3 | PBE | relaxed

Summary:
Electronic total energy = -46.3 eV/cell
Total magnetization = 0.0807 μB/atom
Crystal system = tetragonal
ΔH_f (0 K) = -0.569 eV/atom

Cell and atoms, written as POSCAR:
```
La2CeAl4Au3
1.0
4.467 0.000 0.000
0.000 4.467 0.000
0.000 0.000 11.580
La Ce Al Au
2 1 4 3
Direct
0.000 0.500 0.236
0.500 0.000 0.764
0.000 0.000 0.500
0.000 0.000 0.000
0.000 0.500 0.668
0.500 0.000 0.332
0.500 0.500 0.000
0.000 0.500 0.884
0.500 0.000 0.116
0.500 0.500 0.500
```

***

Entry 3:
Tb6PrDy2 | PBE | relaxed

Summary:
Electronic total energy = -38.7 eV/cell
Total magnetization = 0.0000 μB/atom
Crystal system = trigonal
ΔH_f (0 K) = 0.336 eV/atom
ΔE to the lowest computed polymorph = 140 meV/atom

Cell and atoms, written as POSCAR:
```
Tb6PrDy2
1.0
3.691 2.131 6.393
-3.691 2.131 6.393
0.000 -4.262 6.393
Tb Pr Dy
6 1 2
Direct
0.174 0.174 0.652
0.174 0.652 0.174
0.387 0.387 0.820
0.387 0.820 0.387
0.652 0.174 0.174
0.820 0.387 0.387
0.117 0.117 0.117
0.679 0.679 0.679
0.855 0.855 0.855
```

***

Entry 4:
Ac2TlOsO5 | PBE | relaxed

Summary:
Electronic total energy = -130.6 eV/cell
Total magnetization = 0.3336 μB/atom
Crystal system = tetragonal
Formation energy (no corrections) = -200.69 kJ per mole of atoms

Cell and atoms, written as POSCAR:
```
Ac2TlOsO5
1.0
7.333 0.000 0.000
0.000 7.333 0.000
0.000 0.000 5.931
Ac Tl Os O
4 2 2 10
Direct
0.182 0.318 0.000
0.318 0.818 0.000
0.682 0.182 0.000
0.818 0.682 0.000
0.000 0.000 0.500
0.500 0.500 0.500
0.000 0.500 0.500
0.500 0.000 0.500
0.000 0.000 0.000
0.127 0.627 0.254
0.127 0.627 0.746
0.373 0.127 0.254
0.373 0.127 0.746
0.500 0.500 0.000
0.627 0.873 0.254
0.627 0.873 0.746
0.873 0.373 0.254
0.873 0.373 0.746
```

***

Entry 5:
Rb5Ge4Pb2 | PBE | relaxed

Summary:
Electronic total energy = -30.0 eV/cell
Total magnetization = 0.0000 μB/atom
Crystal system = monoclinic
ΔH_f (0 K) = 0.063 eV/atom

Cell and atoms, written as POSCAR:
```
Rb5Ge4Pb2
1.0
7.711 -3.619 0.000
7.711 3.619 0.000
-2.487 0.000 7.688
Rb Ge Pb
5 4 2
Direct
0.000 0.000 0.000
0.152 0.625 0.581
0.375 0.848 0.419
0.625 0.152 0.581
0.848 0.375 0.419
0.242 0.242 0.215
0.389 0.389 0.163
0.611 0.611 0.837
0.758 0.758 0.785
0.225 0.225 0.855
0.775 0.775 0.145
```

***

Entry 6:
CsErTiO4 | PBE | relaxed

Summary:
Electronic total energy = -107.5 eV/cell
Total magnetization = 0.0000 μB/atom
Crystal system = monoclinic
Formation energy (no corrections) = -283.73 kJ per mole of atoms

Cell and atoms, written as POSCAR:
```
CsErTiO4
1.0
5.905 0.000 0.000
0.000 6.056 0.000
-2.832 0.000 7.664
Cs Er Ti O
2 2 2 8
Direct
0.192 0.250 0.436
0.808 0.750 0.564
0.314 0.250 0.962
0.686 0.750 0.038
0.231 0.750 0.144
0.769 0.250 0.856
0.001 0.750 0.936
0.035 0.750 0.276
0.451 0.524 0.154
0.451 0.976 0.154
0.549 0.024 0.846
0.549 0.476 0.846
0.965 0.250 0.724
0.999 0.250 0.064
```

***

Entry 7:
LaPm3Ir2 | PBE | relaxed

Summary:
Electronic total energy = -79.6 eV/cell
Total magnetization = 0.0000 μB/atom
Crystal system = monoclinic
ΔH_f (0 K) = -0.482 eV/atom
ΔE to the lowest computed polymorph = 75 meV/atom

Cell and atoms, written as POSCAR:
```
LaPm3Ir2
1.0
7.777 -2.408 0.000
7.777 2.408 0.000
-1.192 0.000 8.838
La Pm Ir
2 6 4
Direct
0.174 0.174 0.338
0.826 0.826 0.662
0.048 0.048 0.842
0.326 0.326 0.970
0.398 0.398 0.409
0.602 0.602 0.591
0.674 0.674 0.030
0.952 0.952 0.158
0.203 0.203 0.695
0.451 0.451 0.750
0.549 0.549 0.250
0.797 0.797 0.305
```

***

Entry 8:
Nb2TlSbW | PBE | relaxed

Summary:
Electronic total energy = -28.5 eV/cell
Total magnetization = 0.0009 μB/atom
Crystal system = tetragonal
Formation energy (no corrections) = 213.74 kJ per mole of atoms

Cell and atoms, written as POSCAR:
```
Nb2TlSbW
1.0
5.097 0.000 0.000
0.000 5.097 0.000
0.000 0.000 5.010
Nb Tl Sb W
2 1 1 1
Direct
0.000 0.500 0.000
0.500 0.000 0.000
0.000 0.000 0.000
0.500 0.500 0.500
0.000 0.000 0.500
```

***

What did the eighth record say?
Nb2TlSbW | PBE | relaxed

Summary:
Electronic total energy = -28.5 eV/cell
Total magnetization = 0.0009 μB/atom
Crystal system = tetragonal
Formation energy (no corrections) = 213.74 kJ per mole of atoms

Cell and atoms, written as POSCAR:
```
Nb2TlSbW
1.0
5.097 0.000 0.000
0.000 5.097 0.000
0.000 0.000 5.010
Nb Tl Sb W
2 1 1 1
Direct
0.000 0.500 0.000
0.500 0.000 0.000
0.000 0.000 0.000
0.500 0.500 0.500
0.000 0.000 0.500
```

***

> What is the total magnetization in the fifth record?

0.0000 μB/atom

***

> Which value of electronic total energy does entry 4 give?

-130.6 eV/cell

***

Repeat the seventh record exactly.
LaPm3Ir2 | PBE | relaxed

Summary:
Electronic total energy = -79.6 eV/cell
Total magnetization = 0.0000 μB/atom
Crystal system = monoclinic
ΔH_f (0 K) = -0.482 eV/atom
ΔE to the lowest computed polymorph = 75 meV/atom

Cell and atoms, written as POSCAR:
```
LaPm3Ir2
1.0
7.777 -2.408 0.000
7.777 2.408 0.000
-1.192 0.000 8.838
La Pm Ir
2 6 4
Direct
0.174 0.174 0.338
0.826 0.826 0.662
0.048 0.048 0.842
0.326 0.326 0.970
0.398 0.398 0.409
0.602 0.602 0.591
0.674 0.674 0.030
0.952 0.952 0.158
0.203 0.203 0.695
0.451 0.451 0.750
0.549 0.549 0.250
0.797 0.797 0.305
```